No. 1
This record from the Alexandria database describes an optimized crystal structure of CePm2Sb3Pt4. The functional is GGA-PBE.

```
CePm2Sb3Pt4
1.0
4.5702 0.0000 0.0000
0.0000 4.5702 0.0000
0.0000 0.0000 11.4290
Pt Pm Sb Ce
4 2 3 1
Direct
0.5000 0.0000 0.6459
0.5000 0.5000 0.0000
0.0000 0.5000 0.3541
0.0000 0.0000 0.0000
0.0000 0.5000 0.7940
0.5000 0.0000 0.2060
0.5000 0.0000 0.8718
0.0000 0.5000 0.1282
0.0000 0.0000 0.5000
0.5000 0.5000 0.5000
```

Output
As for the crystal system: tetragonal. The value obtained for the energy relative to the elements, uncorrected is -0.8801 eV per atom. Its volume is 239 Å³/cell.



No. 2
This record from the Alexandria database describes an optimized crystal structure of Ce2PmSi3Pt4. The functional is GGA-PBE.

```
Ce2PmSi3Pt4
1.0
-3.2386 -1.9170 1.9909
1.7655 -3.7946 -0.7818
5.5305 0.6003 9.5748
Pm Pt Si Ce
1 4 3 2
Direct
0.5000 0.5000 0.5000
0.5000 0.5000 0.0000
0.0000 0.5000 0.3306
0.0000 0.0000 0.0000
0.5000 0.0000 0.6694
0.5000 0.0000 0.8844
0.0000 0.5000 0.1156
0.0000 0.0000 0.5000
0.0000 0.5000 0.7747
0.5000 0.0000 0.2253
```

Output
As for the crystal system: tetragonal. The value obtained for the energy relative to the elements, uncorrected is -0.9787 eV per atom. Its volume is 201 Å³/cell.



No. 3
This record from the Alexandria database describes an optimized crystal structure of Ce2Pm2Si4Pt. The functional is GGA-PBE.

```
Ce2Pm2Si4Pt
1.0
-4.8069 -4.4194 0.0796
3.5889 0.1281 5.4541
-2.0759 6.1874 -0.2234
Si Ce Pt Pm
4 2 1 2
Direct
0.0000 0.2405 0.7595
0.0000 0.7595 0.2405
0.4810 0.2405 0.2405
0.5190 0.7595 0.7595
0.0000 0.6612 0.6612
0.0000 0.3388 0.3388
0.0000 0.0000 0.0000
0.5000 0.2500 0.7500
0.5000 0.7500 0.2500
```

Output
As for the crystal system: tetragonal. The value obtained for the energy relative to the elements, uncorrected is -0.4239 eV per atom. Its volume is 211 Å³/cell.



No. 4
This record from the Alexandria database describes an optimized crystal structure of CePmSi2Pt2. The functional is GGA-PBE.

```
CePmSi2Pt2
1.0
4.2287 0.0000 0.0000
-2.1144 3.6622 0.0000
0.0000 0.0000 8.1109
Si Ce Pt Pm
2 1 2 1
Direct
0.3333 0.6667 0.7436
0.6667 0.3333 0.2564
0.0000 0.0000 0.5000
0.3333 0.6667 0.2513
0.6667 0.3333 0.7487
0.0000 0.0000 0.0000
```

Output
As for the crystal system: trigonal. The value obtained for the energy relative to the elements, uncorrected is -1.1165 eV per atom. Its volume is 126 Å³/cell.



No. 5
This record from the Alexandria database describes an optimized crystal structure of CePmSiPt. The functional is GGA-PBE.

```
CePmSiPt
1.0
-3.8757 1.8871 2.7312
-0.0337 -0.5170 5.0767
0.7277 4.0748 2.9846
Pt Si Pm Ce
1 1 1 1
Direct
0.7500 0.7500 0.7500
0.2500 0.2500 0.2500
0.0000 0.0000 0.0000
0.5000 0.5000 0.5000
```

Output
As for the crystal system: cubic. The value obtained for the energy relative to the elements, uncorrected is -0.6893 eV per atom. Its volume is 94 Å³/cell.



No. 6
This record from the Alexandria database describes an optimized crystal structure of Ce2PmSi2Pt2. The functional is GGA-PBE.

```
Ce2PmSi2Pt2
1.0
-3.7403 1.0215 -1.7919
-3.4247 0.6973 2.4554
-0.1790 9.5806 0.7446
Pt Ce Si Pm
2 2 2 1
Direct
0.5949 0.5949 0.2152
0.4051 0.4051 0.7848
0.8614 0.8614 0.4157
0.1386 0.1386 0.5843
0.7420 0.7420 0.7739
0.2580 0.2580 0.2261
0.0000 0.0000 0.0000
```

Output
As for the crystal system: trigonal. The value obtained for the energy relative to the elements, uncorrected is -0.9661 eV per atom. Its volume is 147 Å³/cell.



No. 7
This record from the Alexandria database describes an optimized crystal structure of CePm2Sn3Pt4. The functional is GGA-PBE.

```
CePm2Sn3Pt4
1.0
-4.3470 -1.0196 -1.2056
-0.9395 -1.1678 4.3753
-3.0713 10.5457 2.1551
Sn Ce Pt Pm
3 1 4 2
Direct
0.0000 0.5000 0.1255
0.0000 0.0000 0.5000
0.5000 0.0000 0.8745
0.5000 0.5000 0.5000
0.5000 0.5000 0.0000
0.5000 0.0000 0.6420
0.0000 0.0000 0.0000
0.0000 0.5000 0.3580
0.0000 0.5000 0.7922
0.5000 0.0000 0.2078
```

Output
As for the crystal system: tetragonal. Its volume is 239 Å³/cell. The total energy comes out at -6.017 eV/atom.



No. 8
This record from the Alexandria database describes an optimized crystal structure of TbCePm2Pt2. The functional is GGA-PBE.

```
TbCePm2Pt2
1.0
6.7672 0.0000 0.0000
0.0000 6.8188 0.0000
-3.3836 -3.4094 7.1716
Pt Ce Pm Tb
4 2 4 2
Direct
0.8853 0.1284 0.7706
0.6147 0.3578 0.2294
0.3853 0.6422 0.7706
0.1147 0.8716 0.2294
0.7500 0.0000 0.0000
0.2500 0.0000 0.0000
0.6901 0.9616 0.3802
0.3099 0.0384 0.6198
0.1901 0.4186 0.3802
0.8099 0.5814 0.6198
0.7500 0.5000 0.0000
0.2500 0.5000 0.0000
```

Output
As for the crystal system: orthorhombic. Its volume is 331 Å³/cell. The total energy comes out at -6.102 eV/atom.



No. 9
This record from the Alexandria database describes an optimized crystal structure of CePmTcPt. The functional is GGA-PBE.

```
CePmTcPt
1.0
4.9839 0.0000 0.0000
2.4920 4.3162 0.0000
2.4920 1.4387 4.0694
Ce Pm Tc Pt
1 1 1 1
Direct
0.0000 0.0000 0.0000
0.5000 0.5000 0.5000
0.7500 0.7500 0.7500
0.2500 0.2500 0.2500
```

Output
As for the crystal system: cubic. Its volume is 88 Å³/cell. The total energy comes out at -7.188 eV/atom.



No. 10
This record from the Alexandria database describes an optimized crystal structure of CePmTePt. The functional is GGA-PBE.

```
CePmTePt
1.0
4.2142 0.0000 0.0000
2.1071 3.6496 0.0000
2.1071 1.2165 7.5610
Ce Pm Te Pt
1 1 1 1
Direct
0.9876 0.9876 0.0372
0.5111 0.5111 0.4667
0.7496 0.7496 0.7513
0.2518 0.2518 0.2447
```

Output
As for the crystal system: trigonal. The value obtained for the energy relative to the elements, uncorrected is -1.2198 eV per atom. Its volume is 116 Å³/cell.



No. 11
This record from the Alexandria database describes an optimized crystal structure of CePmZnPt. The functional is GGA-PBE.

```
CePmZnPt
1.0
5.1068 0.0000 0.0000
2.5534 4.4226 0.0000
2.5534 1.4742 4.1696
Pm Ce Zn Pt
1 1 1 1
Direct
0.0000 0.0000 0.0000
0.5000 0.5000 0.5000
0.2500 0.2500 0.2500
0.7500 0.7500 0.7500
```

Output
As for the crystal system: cubic. Its volume is 94 Å³/cell. The total energy comes out at -5.114 eV/atom.



No. 12
This record from the Alexandria database describes an optimized crystal structure of Ce2PmPu. The functional is GGA-PBE.

```
Ce2PmPu
1.0
3.6488 0.0000 0.0000
1.8244 3.1600 0.0000
1.8244 1.0533 9.4345
Pu Pm Ce
1 1 2
Direct
0.5018 0.5018 0.4948
0.6626 0.6626 0.0121
0.1133 0.1133 0.6602
0.2223 0.2223 0.3330
```

Output
The calculation puts the polymorph energy (0 for the lowest one) at 228 meV per atom. As for the crystal system: trigonal. Its volume is 109 Å³/cell.



No. 13
This record from the Alexandria database describes an optimized crystal structure of Ce4PmPu. The functional is GGA-PBE.

```
Ce4PmPu
1.0
6.1963 0.0000 0.0000
3.0982 5.3662 0.0000
3.0982 1.7887 5.0593
Pu Ce Pm
1 4 1
Direct
0.0000 0.0000 0.0000
0.1285 0.6238 0.6238
0.6238 0.1285 0.6238
0.6238 0.6238 0.1285
0.6238 0.6238 0.6238
0.2500 0.2500 0.2500
```

Output
As for the crystal system: cubic. Its volume is 168 Å³/cell. The total energy comes out at -6.874 eV/atom.



No. 14
This record from the Alexandria database describes an optimized crystal structure of CePmPu4. The functional is GGA-PBE.

```
CePmPu4
1.0
6.1646 0.0000 0.0000
3.0823 5.3387 0.0000
3.0823 1.7796 5.0334
Pu Ce Pm
4 1 1
Direct
0.6260 0.6260 0.1219
0.6260 0.1219 0.6260
0.6260 0.6260 0.6260
0.1219 0.6260 0.6260
0.0000 0.0000 0.0000
0.2500 0.2500 0.2500
```

Output
As for the crystal system: cubic. Its volume is 166 Å³/cell. The total energy comes out at -11.083 eV/atom.



No. 15
This record from the Alexandria database describes an optimized crystal structure of Ce7PmPu2. The functional is GGA-PBE.

```
Ce7PmPu2
1.0
-0.8476 -4.9254 -0.8915
8.2377 -1.0363 -2.1067
-3.6687 -0.7629 7.7026
Ce Pu Pm
7 2 1
Direct
0.0000 0.7142 0.2858
0.5000 0.9003 0.6317
0.5000 0.6317 0.9003
0.0000 0.2858 0.7142
0.5000 0.3683 0.0997
0.5000 0.5000 0.5000
0.5000 0.0997 0.3683
0.5000 0.7385 0.2615
0.5000 0.2615 0.7385
0.0000 0.0000 0.0000
```

Output
As for the crystal system: orthorhombic. Its volume is 292 Å³/cell. The total energy comes out at -7.116 eV/atom.



No. 16
This record from the Alexandria database describes an optimized crystal structure of Ce2PmPu. The functional is GGA-PBE.

```
Ce2PmPu
1.0
3.3947 0.0000 0.0000
0.0000 3.3947 0.0000
0.0000 0.0000 9.7685
Ce Pu Pm
2 1 1
Direct
0.0000 0.0000 0.2237
0.0000 0.0000 0.7763
0.5000 0.5000 0.0000
0.5000 0.5000 0.5000
```

Output
The calculation puts the polymorph energy (0 for the lowest one) at 0 meV per atom. As for the crystal system: tetragonal. Its volume is 113 Å³/cell.



No. 17
This record from the Alexandria database describes an optimized crystal structure of CePm2Pu. The functional is GGA-PBE.

```
CePm2Pu
1.0
3.5539 0.0000 0.0000
1.7769 3.0778 0.0000
1.7769 1.0259 11.6532
Ce Pm Pu
1 2 1
Direct
0.5002 0.5002 0.4994
0.2511 0.2511 0.2467
0.0822 0.0822 0.7535
0.6665 0.6665 0.0004
```

Output
The calculation puts the polymorph energy (0 for the lowest one) at 11 meV per atom. As for the crystal system: trigonal. Its volume is 127 Å³/cell.



No. 18
This record from the Alexandria database describes an optimized crystal structure of Ce2PmPu. The functional is GGA-PBE.

```
Ce2PmPu
1.0
4.7631 0.0000 0.0000
0.0000 4.8849 0.0000
0.0000 0.0000 4.8849
Pu Pm Ce
1 1 2
Direct
0.5000 0.5000 0.5000
0.5000 0.0000 0.0000
0.0000 0.5000 0.0000
0.0000 0.0000 0.5000
```

Output
The calculation puts the polymorph energy (0 for the lowest one) at 25 meV per atom. As for the crystal system: tetragonal. Its volume is 114 Å³/cell.



No. 19
This record from the Alexandria database describes an optimized crystal structure of CePm2Pu. The functional is GGA-PBE.

```
CePm2Pu
1.0
-3.3526 0.8303 -0.6085
-0.9763 -3.2219 0.9829
-0.9579 3.2553 9.7192
Pu Pm Ce
1 2 1
Direct
0.5000 0.5000 0.5000
0.0000 0.0000 0.7474
0.0000 0.0000 0.2526
0.5000 0.5000 0.0000
```

Output
The calculation puts the polymorph energy (0 for the lowest one) at 6 meV per atom. As for the crystal system: tetragonal. Its volume is 127 Å³/cell.



No. 20
This record from the Alexandria database describes an optimized crystal structure of CePm2Pu. The functional is GGA-PBE.

```
CePm2Pu
1.0
-1.8096 -1.1818 -4.7493
4.5586 -0.2939 -1.6638
0.1093 -4.7262 1.1344
Ce Pm Pu
1 2 1
Direct
0.5000 0.5000 0.5000
0.0000 0.5000 0.0000
0.0000 0.0000 0.5000
0.5000 0.0000 0.0000
```

Output
The calculation puts the polymorph energy (0 for the lowest one) at 0 meV per atom. As for the crystal system: tetragonal. Its volume is 123 Å³/cell.



No. 21
This record from the Alexandria database describes an optimized crystal structure of CePm14Pu. The functional is GGA-PBE.

```
CePm14Pu
1.0
7.1925 0.9675 0.0000
-0.9626 7.1932 0.0000
0.0000 0.0000 10.2575
Pm Ce Pu
14 1 1
Direct
0.8750 0.6250 0.5000
0.1245 0.3745 0.2455
0.1245 0.3745 0.7545
0.1246 0.8754 0.7544
0.6254 0.3746 0.7545
0.6255 0.8755 0.7545
0.6255 0.8755 0.2455
0.8751 0.6251 0.0000
0.1246 0.8754 0.2456
0.3749 0.1249 0.0000
0.6254 0.3746 0.2455
0.8749 0.1251 0.5000
0.3750 0.1250 0.5000
0.3751 0.6249 0.5000
0.3748 0.6252 0.0000
0.8752 0.1248 0.0000
```

Output
As for the crystal system: tetragonal. Its volume is 540 Å³/cell. The total energy comes out at -5.364 eV/atom.



No. 22
This record from the Alexandria database describes an optimized crystal structure of Ce14PmPu. The functional is GGA-PBE.

```
Ce14PmPu
1.0
-5.5837 1.2669 3.4808
-1.0519 -6.5800 0.7041
4.9978 0.0567 7.9964
Ce Pu Pm
14 1 1
Direct
0.3748 0.1247 0.5000
0.1225 0.8775 0.7464
0.6279 0.8775 0.2532
0.3755 0.6245 0.5000
0.1225 0.8775 0.2536
0.8745 0.6246 0.0000
0.8745 0.1255 0.5000
0.6274 0.3726 0.2528
0.6279 0.8775 0.7468
0.3754 0.1255 0.0000
0.6274 0.3726 0.7472
0.8753 0.6252 0.5000
0.1225 0.3721 0.7468
0.1225 0.3721 0.2532
0.8755 0.1245 0.0000
0.3738 0.6262 0.0000
```

Output
As for the crystal system: orthorhombic. Its volume is 423 Å³/cell. The total energy comes out at -6.345 eV/atom.



No. 23
This record from the Alexandria database describes an optimized crystal structure of Ce2PmPu. The functional is GGA-PBE.

```
Ce2PmPu
1.0
3.5785 0.0000 0.0000
1.7892 3.0990 0.0000
1.7892 1.0330 10.0145
Pu Ce Pm
1 2 1
Direct
0.5000 0.5000 0.5000
0.1141 0.1141 0.6577
0.8859 0.8859 0.3423
0.0000 0.0000 0.0000
```

Output
The calculation puts the polymorph energy (0 for the lowest one) at 327 meV per atom. As for the crystal system: trigonal. Its volume is 111 Å³/cell.



No. 24
This record from the Alexandria database describes an optimized crystal structure of CePm2Pu. The functional is GGA-PBE.

```
CePm2Pu
1.0
5.6502 0.0000 0.0000
2.8251 4.8932 0.0000
2.8251 1.6311 4.6134
Ce Pu Pm
1 1 2
Direct
0.5000 0.5000 0.5000
0.0000 0.0000 0.0000
0.2500 0.2500 0.2500
0.7500 0.7500 0.7500
```

Output
The calculation puts the polymorph energy (0 for the lowest one) at 133 meV per atom. As for the crystal system: cubic. Its volume is 128 Å³/cell.



No. 25
This record from the Alexandria database describes an optimized crystal structure of CePmPuRh. The functional is GGA-PBE.

```
CePmPuRh
1.0
-3.2900 -1.7422 3.5235
-4.2267 -2.5069 -1.4577
-0.4138 -5.0378 0.8512
Pm Pu Rh Ce
1 1 1 1
Direct
0.2500 0.2500 0.2500
0.5000 0.5000 0.5000
0.0000 0.0000 0.0000
0.7500 0.7500 0.7500
```

Output
As for the crystal system: cubic. Its volume is 95 Å³/cell. The total energy comes out at -8.164 eV/atom.



No. 26
This record from the Alexandria database describes an optimized crystal structure of CePmPu2S4. The functional is GGA-PBE.

```
CePmPu2S4
1.0
-0.5415 3.9275 0.3966
-5.6783 -1.1640 3.7734
1.7377 -0.4348 6.6785
S Ce Pu Pm
4 1 2 1
Direct
0.5000 0.7578 0.2471
0.0000 0.7583 0.7473
0.5000 0.2422 0.7529
0.0000 0.2417 0.2527
0.5000 0.5000 0.0000
0.5000 0.0000 0.5000
0.0000 0.0000 0.0000
0.0000 0.5000 0.5000
```

Output
As for the crystal system: monoclinic. The value obtained for the energy relative to the elements, uncorrected is -1.9167 eV per atom. Its volume is 180 Å³/cell.